Entry 1:
The following is a PBE calculation of a relaxed structure of NbIBr2O, from the Open Quantum Materials Database.

Unit cell a=7.4750 b=7.4750 c=12.4341 alpha=119.76 beta=119.76 gamma=30.77
With the nearest neighbours (Å) after each atom.
Fractional coordinates of all 10 atoms:
Br 0.6827 0.6787 0.2187  1 Nb 2.47
Br 0.0927 0.1010 0.4574  2 Nb 2.72
Br 0.8990 0.9073 0.5426  2 Nb 2.72
Br 0.3213 0.3173 0.7813  1 Nb 2.47
I 0.8994 0.8927 0.1084  1 Nb 2.67
I 0.1073 0.1006 0.8916  1 Nb 2.67
Nb 0.9331 0.8230 0.3111  1 O 1.82
Nb 0.1770 0.0669 0.6889  1 O 1.82
O 0.3986 0.3719 0.3210  1 Nb 1.82
O 0.6281 0.6014 0.6790  1 Nb 1.82

Computed properties:
- calculated volume (Å³ per cell) = 304.7
- E (eV/atom) = -5.22
- crystal system = monoclinic

=====

Entry 2:
The following is a PBE calculation of a relaxed structure of Gd3Ni2Sn3Ir, from the Open Quantum Materials Database.

Unit cell a=7.3464 b=7.3464 c=4.0422 alpha=90.00 beta=90.00 gamma=120.00
With the nearest neighbours (Å) after each atom.
Fractional coordinates of all 9 atoms:
Gd 0.4107 0.0000 0.0000  4 Ni 3.00, 1 Ir 3.02, 6 Sn 3.15-3.33
Gd 0.0000 0.4107 0.0000  4 Ni 3.00, 1 Ir 3.02, 6 Sn 3.15-3.33
Gd 0.5893 0.5893 0.0000  4 Ni 3.00, 1 Ir 3.02, 6 Sn 3.15-3.33
Ir 0.0000 0.0000 0.0000  6 Sn 2.78, 3 Gd 3.02
Ni 0.6667 0.3333 0.5000  3 Sn 2.75, 6 Gd 3.00
Ni 0.3333 0.6667 0.5000  3 Sn 2.75, 6 Gd 3.00
Sn 0.7393 0.0000 0.5000  2 Ni 2.75, 2 Ir 2.78
Sn 0.2607 0.2607 0.5000  2 Ni 2.75, 2 Ir 2.78
Sn 0.0000 0.7393 0.5000  2 Ni 2.75, 2 Ir 2.78

Computed properties:
- calculated volume (Å³ per cell) = 188.9
- E (eV/atom) = -5.82
- crystal system = hexagonal

=====

Entry 3:
The following is a PBE calculation of a relaxed structure of HoAg2I2, from the Open Quantum Materials Database.

Unit cell a=4.1335 b=4.1335 c=9.7501 alpha=90.00 beta=90.00 gamma=120.00
With the nearest neighbours (Å) after each atom.
Fractional coordinates of all 5 atoms:
Ag 0.6667 0.3333 0.4355  3 Ag 2.70
Ag 0.3333 0.6667 0.5645  3 Ag 2.70
Ho 0.0000 0.0000 0.0000  6 I 3.04
I 0.3333 0.6667 0.1925  3 Ho 3.04, 3 Ag 3.36
I 0.6667 0.3333 0.8075  3 Ho 3.04, 3 Ag 3.36

Computed properties:
- calculated volume (Å³ per cell) = 144.3
- E (eV/atom) = -2.95
- crystal system = trigonal

=====

Entry 4:
The following is a PBE calculation of a relaxed structure of Dy2Y3Tm2Te2Pd2, from the Open Quantum Materials Database.

Unit cell a=9.4187 b=9.4187 c=9.4187 alpha=155.80 beta=66.91 gamma=118.68
With the nearest neighbours (Å) after each atom.
Fractional coordinates of all 11 atoms:
Dy 0.2644 0.8931 0.3713  2 Pd 2.88, 3 Te 3.12-3.19
Dy 0.5217 0.8931 0.6287  2 Pd 2.88, 3 Te 3.12-3.19
Pd 0.6712 0.4093 0.2620  2 Tm 2.84, 2 Dy 2.88, 2 Y 2.95
Pd 0.1473 0.4093 0.7380  2 Tm 2.84, 2 Dy 2.88, 2 Y 2.95
Te 0.2400 0.2400 0.0000  2 Tm 3.17, 4 Dy 3.19, 2 Y 3.20
Te 0.6409 0.1409 0.5000  2 Dy 3.12, 5 Y 3.15-3.24
Tm 0.2835 0.1008 0.1827  2 Pd 2.84, 1 Te 3.17
Tm 0.9181 0.1008 0.8173  2 Pd 2.84, 1 Te 3.17
Y 0.8841 0.7403 0.1438  2 Pd 2.95, 2 Te 3.15
Y 0.9783 0.4783 0.5000  3 Te 3.20-3.24
Y 0.5966 0.7403 0.8562  2 Pd 2.95, 2 Te 3.15

Computed properties:
- calculated volume (Å³ per cell) = 298.0
- E (eV/atom) = -5.79
- crystal system = orthorhombic